(1)
## SbAu (GGA-PBE)

Data for SbAu after structural relaxation.

The structure in extended XYZ format:
```
6
Lattice="4.963 -0.036 0.031 3.323 3.686 0.031 2.080 0.916 8.392" Properties=species:S:1:pos:R:3 pbc="T T T"
Au 3.283 1.446 3.478
Au 6.749 2.972 5.668
Sb 2.381 1.049 0.675
Sb 2.188 0.964 7.434
Au 5.688 2.505 2.338
Sb 9.080 3.999 4.363
```

Calculated values
Magnetic moment   0.00 μB/atom
Uncorrected energy   -3.66 eV/atom


(2)
## TcIr4 (GGA-PBE)

Data for TcIr4 after structural relaxation.

The structure in extended XYZ format:
```
5
Lattice="4.616 0.000 0.000 0.000 4.616 0.000 0.000 0.000 4.616" Properties=species:S:1:pos:R:3 pbc="T T T"
Ir 0.000 0.000 0.000
Ir 2.308 2.308 0.000
Tc 2.308 2.308 2.308
Ir 2.308 0.000 2.308
Ir 0.000 2.308 2.308
```

Calculated values
Magnetic moment   0.00 μB/atom
E above lowest polymorph   2212.3 meV per atom
Energy of formation   2.10 eV per atom


(3)
## AlNi2SeS (GGA-PBE)

Data for AlNi2SeS after structural relaxation.

The structure in extended XYZ format:
```
5
Lattice="-0.092 3.425 2.851 -4.045 -1.684 1.893 2.364 -2.379 2.935" Properties=species:S:1:pos:R:3 pbc="T T T"
Al 0.000 0.000 0.000
S -0.887 -0.319 3.839
Ni -0.046 1.713 1.425
Se -2.023 -0.842 0.946
Ni 1.182 -1.190 1.468
```

Calculated values
Magnetic moment   0.00 μB/atom
Uncorrected energy   -3.62 eV/atom


(4)
## SmEr6Tm8 (GGA-PBE)

Data for SmEr6Tm8 after structural relaxation.

The structure in extended XYZ format:
```
15
Lattice="6.400 0.000 0.000 0.000 8.064 -4.656 0.000 0.000 9.312" Properties=species:S:1:pos:R:3 pbc="T T T"
Tm 0.591 5.329 6.002
Tm 1.049 5.376 0.000
Tm 0.591 2.533 1.695
Er 3.765 3.373 1.017
Tm 5.809 7.863 -1.614
Tm 5.809 5.531 2.961
Tm 5.351 2.688 4.656
Sm 3.200 0.000 0.000
Er 3.765 7.259 1.226
Tm 0.591 0.202 6.270
Tm 5.809 2.735 -1.346
Er 2.635 4.691 3.638
Er 2.635 2.567 6.899
Er 2.635 0.805 3.430
Er 3.765 5.497 -2.243
```

Calculated values
Magnetic moment   0.00 μB/atom
E above lowest polymorph   101.6 meV per atom
Energy of formation   0.24 eV per atom


(5)
## CsTl2TcF8 (GGA-PBE)

Data for CsTl2TcF8 after structural relaxation.

The structure in extended XYZ format:
```
12
Lattice="4.992 -0.443 0.002 -0.417 6.322 -0.004 0.009 0.012 8.419" Properties=species:S:1:pos:R:3 pbc="T T T"
Tc 0.000 0.000 0.000
F 2.624 1.543 4.210
F 2.893 5.027 8.415
Cs 0.004 0.006 4.210
F 4.465 0.799 1.385
F 1.691 0.864 0.001
F 1.960 4.348 4.207
Tl 2.291 2.943 2.211
F 0.119 5.092 7.032
F 0.107 5.081 1.381
Tl 2.293 2.948 6.205
F 4.476 0.810 7.035
```

Calculated values
Magnetic moment   0.17 μB/atom
Uncorrected energy   -4.71 eV/atom


(6)
## BaFePb2N (GGA-PBE)

Data for BaFePb2N after structural relaxation.

The structure in extended XYZ format:
```
5
Lattice="6.379 0.000 0.000 0.000 4.386 0.000 0.000 0.000 6.379" Properties=species:S:1:pos:R:3 pbc="T T T"
Fe 3.190 2.193 3.190
N 0.000 2.193 0.000
Ba 0.000 0.000 0.000
Pb 0.000 0.000 3.190
Pb 3.190 0.000 0.000
```

Calculated values
Magnetic moment   0.01 μB/atom
Uncorrected energy   -3.27 eV/atom


(7)
## Y2TaTe (GGA-PBE)

Data for Y2TaTe after structural relaxation.

The structure in extended XYZ format:
```
4
Lattice="9.501 -0.006 -0.004 8.797 3.589 -0.004 8.797 1.723 3.149" Properties=species:S:1:pos:R:3 pbc="T T T"
Ta 6.774 1.326 0.785
Y 13.472 2.638 1.562
Y 0.076 0.015 0.009
Te 20.321 3.979 2.356
```

Calculated values
Magnetic moment   0.22 μB/atom
Uncorrected energy   -7.08 eV/atom


(8)
## Li6AcMg6 (GGA-PBE)

Data for Li6AcMg6 after structural relaxation.

The structure in extended XYZ format:
```
13
Lattice="-0.555 3.126 -4.528 -7.562 0.425 -2.158 -1.074 7.550 1.966" Properties=species:S:1:pos:R:3 pbc="T T T"
Li -0.537 3.775 0.983
Li -3.781 0.212 -1.079
Mg -7.187 8.502 -3.382
Mg -3.371 5.028 0.506
Mg -5.265 2.947 -0.698
Li -4.058 1.775 -3.343
Li -2.806 7.516 -1.223
Mg -3.411 4.840 -2.996
Ac 0.000 0.000 0.000
Mg -2.004 2.599 -1.338
Li -6.385 3.585 -3.498
Li -0.814 5.338 -1.281
Mg -5.780 6.261 -1.724
```

Calculated values
Magnetic moment   0.00 μB/atom
Energy of formation   -0.04 eV per atom


Question: The highest magnetic moment belongs to which entry?
Answer: Y2TaTe